{
  "formula": "LaMoS2",
  "functional": "GGA-PBE",
  "state": "relaxed",
  "lattice_angstrom": [[5.4660, 0.0000, 0.0000], [0.0000, 5.4660, 0.0000], [2.7330, 2.7330, 6.6184]],
  "species": ["Mo", "Mo", "S", "S", "S", "S", "La", "La"],
  "fractional_positions": [[0.5000, 0.5000, 0.0000], [0.2500, 0.7500, 0.5000], [0.5393, 0.1250, 0.2500], [0.2107, 0.6250, 0.2500], [0.3750, 0.4607, 0.7500], [0.8750, 0.7893, 0.7500], [0.0000, 0.0000, 0.0000], [0.7500, 0.2500, 0.5000]],
  "dos_ef_per_ev_atom": 0.60,
  "polymorph_energy_mev_per_atom": 0,
  "magmom_total_mub_per_cell": 0.00,
  "total_energy_ev_per_atom": -6.825,
  "raw_formation_energy_kj_per_mol_fu": -317.0
}